# 1
! Ba8PdAu2N, optimized geometry, DFT PBE; values from VASP
&SYSTEM
  ibrav = 0, nat = 12, ntyp = 4
/
ATOMIC_SPECIES
Au 196.97 Au.upf
Ba 137.33 Ba.upf
Pd 106.42 Pd.upf
N 14.01 N.upf
ATOMIC_POSITIONS angstrom
Au 3.863 3.778 7.067
Au 3.860 3.773 2.116
Ba 6.382 1.560 7.110
Ba 2.149 1.837 -0.003
Ba 1.344 5.997 7.108
Ba 6.379 1.554 2.075
Ba 1.341 5.991 2.073
Ba 5.575 5.714 9.186
Ba 2.464 2.097 4.594
Ba 5.259 5.454 4.589
Pd 0.003 0.006 4.598
N 0.000 0.000 0.000
CELL_PARAMETERS angstrom
7.665 0.037 -0.005
0.053 7.503 -0.009
0.006 0.011 9.197
! Size of the total moment: 0.0 μB per cell
! DOS at the Fermi energy: 7.19 states/eV/cell
! Energy relative to the elements, uncorrected: -5.1 eV per formula unit

---

# 2
! KBaI2Br, optimized geometry, DFT PBE; values from VASP
&SYSTEM
  ibrav = 0, nat = 10, ntyp = 4
/
ATOMIC_SPECIES
I 126.90 I.upf
Ba 137.33 Ba.upf
Br 79.90 Br.upf
K 39.10 K.upf
ATOMIC_POSITIONS angstrom
I -1.017 -1.786 -5.348
I -11.208 0.924 -2.146
I -6.881 1.219 -2.461
I -5.344 -2.081 -5.033
Ba 0.000 0.000 0.000
Ba -5.812 -0.396 0.423
Br -9.252 -0.237 -6.374
Br -2.974 -0.626 -1.120
K -8.927 -1.916 -3.482
K -3.298 1.054 -4.013
CELL_PARAMETERS angstrom
-0.431 4.736 -1.500
-0.171 -4.807 -6.840
-11.623 -0.791 0.846
! Size of the total moment: 0.0 μB per cell
! DOS at the Fermi energy: 0.00 states/eV/cell
! Energy relative to the elements, uncorrected: -8.8 eV per formula unit

---

# 3
! PrSi3Ir3, optimized geometry, DFT PBE; values from VASP
&SYSTEM
  ibrav = 0, nat = 14, ntyp = 3
/
ATOMIC_SPECIES
Ir 192.22 Ir.upf
Si 28.09 Si.upf
Pr 140.91 Pr.upf
ATOMIC_POSITIONS angstrom
Ir -1.644 1.560 -2.887
Ir -3.631 0.360 0.395
Ir -1.161 5.450 -1.993
Ir -1.075 3.456 0.613
Ir -4.759 0.691 -3.450
Ir -4.663 2.818 2.311
Si -2.590 2.024 1.634
Si -0.602 3.224 -1.648
Si -1.634 5.682 0.267
Si -3.158 0.128 -1.866
Si -5.705 1.154 1.072
Si -3.244 2.123 -4.472
Pr -4.233 3.584 -1.253
Pr 0.000 0.000 0.000
CELL_PARAMETERS angstrom
-0.172 3.989 -5.212
-6.231 -1.739 -1.126
-2.064 4.917 3.831
! Polymorph energy (0 for the lowest one): 0.102 eV per atom
! Size of the total moment: 0.0 μB per cell
! DOS at the Fermi energy: 11.45 states/eV/cell
! Energy relative to the elements, uncorrected: -3.5 eV per formula unit

---

# 4
! AlNiIr2, optimized geometry, DFT PBE; values from VASP
&SYSTEM
  ibrav = 0, nat = 4, ntyp = 3
/
ATOMIC_SPECIES
Ni 58.69 Ni.upf
Ir 192.22 Ir.upf
Al 26.98 Al.upf
ATOMIC_POSITIONS angstrom
Ni 0.000 0.000 4.399
Ir 0.707 1.191 2.236
Ir 0.000 0.000 8.416
Al 0.707 1.191 6.329
CELL_PARAMETERS angstrom
2.719 -0.004 0.000
-1.304 2.386 0.000
0.000 0.000 8.552
! Energy of formation from the pure elements: -0.0416 eV per atom
! Size of the total moment: 0.0 μB per cell
! DOS at the Fermi energy: 5.84 states/eV/cell